CoNi2Mo: PBEsol geometry, SCAN.

The structure belongs to space group I-4m2 (No. 119); the cell edges are 3.5657, 3.5657 and 7.1178 Å and the angles 90.00°, 90.00° and 90.00°. The distinct sites, in fractional coordinates, are Co at (0.0000, 0.0000, 0.0000), Ni at (0.0000, 0.0000, 0.5000), Ni at (0.0000, 0.5000, 0.7500) and Mo at (0.0000, 0.5000, 0.2500).

The total DFT energy (no corrections) is -21.09 eV per atom. For the formation enthalpy at 0 K, the calculation gives 0.046 eV per atom. The value obtained for the density is 9.99 Mg/m³. The value obtained for the distance to the lowest polymorph of the same formula is 0 meV per atom.

***

CoNi: PBEsol geometry, SCAN.

The structure belongs to space group C2/m (No. 12); the cell edges are 9.0128, 2.4365 and 4.2707 Å and the angles 90.00°, 118.02° and 90.00°. The distinct sites, in fractional coordinates, are Co at (0.1257, 0.0000, 0.2913) and Ni at (0.1237, 0.5000, 0.7905).

The total DFT energy (no corrections) is -16.72 eV per atom. For the formation enthalpy at 0 K, the calculation gives 0.019 eV per atom. The value obtained for the density is 9.44 Mg/m³.